## a
# MgTc2Cl (PBE, relaxed)
# total moment: 0.00 μB per atom
# V: 69.91 Å³ per cell
# Fermi-level density of states: 1.79 states/eV/cell
data_MgTc2Cl
_cell_length_a 3.0586
_cell_length_b 3.0157
_cell_length_c 7.5799
_cell_angle_alpha 90.00
_cell_angle_beta 90.72
_cell_angle_gamma 90.00
_symmetry_space_group_name_H-M 'P 1 m 1'
_symmetry_Int_Tables_number 6
_symmetry_space_group_name_Hall 'P -2y'
loop_
_atom_site_label
_atom_site_fract_x
_atom_site_fract_y
_atom_site_fract_z
Mg1 0.0000 0.0000 0.0000
Tc1 0.4902 0.5000 0.7482
Tc2 0.9843 0.0000 0.5656
Cl1 0.9717 0.5000 0.2822

---

## b
# MgTc2Cl (PBE, relaxed)
# total moment: 0.46 μB per atom
# V: 189.46 Å³ per cell
# Fermi-level density of states: 13.76 states/eV/cell
data_MgTc2Cl
_cell_length_a 2.8913
_cell_length_b 2.8913
_cell_length_c 26.1702
_cell_angle_alpha 90.00
_cell_angle_beta 90.00
_cell_angle_gamma 120.00
_symmetry_space_group_name_H-M 'R -3 m'
_symmetry_Int_Tables_number 166
_symmetry_space_group_name_Hall '-R 3 2"'
loop_
_atom_site_label
_atom_site_fract_x
_atom_site_fract_y
_atom_site_fract_z
Mg1 0.0000 0.0000 0.0000
Tc1 0.0000 0.0000 0.2439
Cl1 0.0000 0.0000 0.5000

---

## c
# MgTc2Cl (PBE, relaxed)
# total moment: 0.00 μB per atom
# V: 126.81 Å³ per cell
# Fermi-level density of states: 8.65 states/eV/cell
data_MgTc2Cl
_cell_length_a 2.8731
_cell_length_b 4.5138
_cell_length_c 9.7784
_cell_angle_alpha 90.00
_cell_angle_beta 90.00
_cell_angle_gamma 90.00
_symmetry_space_group_name_H-M 'I m m m'
_symmetry_Int_Tables_number 71
_symmetry_space_group_name_Hall '-I 2 2'
loop_
_atom_site_label
_atom_site_fract_x
_atom_site_fract_y
_atom_site_fract_z
Mg1 0.0000 0.0000 0.0000
Tc1 0.0000 0.5000 0.2222
Cl1 0.0000 0.0000 0.5000

---

## d
# MgTc2Cl (PBE, relaxed)
# total moment: 0.00 μB per atom
# V: 266.88 Å³ per cell
# Fermi-level density of states: 19.65 states/eV/cell
data_MgTc2Cl
_cell_length_a 7.3016
_cell_length_b 7.3016
_cell_length_c 5.0060
_cell_angle_alpha 90.00
_cell_angle_beta 90.00
_cell_angle_gamma 90.00
_symmetry_space_group_name_H-M 'I -4 2 d'
_symmetry_Int_Tables_number 122
_symmetry_space_group_name_Hall 'I -4 2bw'
loop_
_atom_site_label
_atom_site_fract_x
_atom_site_fract_y
_atom_site_fract_z
Mg1 0.0000 0.0000 0.0000
Tc1 0.1629 0.7500 0.6250
Cl1 0.0000 0.0000 0.5000

---

a (590 meV/atom below the next structure)

---

## a
# Mg3TcCl (PBE, relaxed)
# total moment: 0.00 μB per atom
# V: 102.80 Å³ per cell
# Fermi-level density of states: 0.00 states/eV/cell
data_Mg3TcCl
_cell_length_a 4.6845
_cell_length_b 4.6845
_cell_length_c 4.6845
_cell_angle_alpha 90.00
_cell_angle_beta 90.00
_cell_angle_gamma 90.00
_symmetry_space_group_name_H-M 'P m -3 m'
_symmetry_Int_Tables_number 221
_symmetry_space_group_name_Hall '-P 4 2 3'
loop_
_atom_site_label
_atom_site_fract_x
_atom_site_fract_y
_atom_site_fract_z
Mg1 0.0000 0.0000 0.5000
Tc1 0.5000 0.5000 0.5000
Cl1 0.0000 0.0000 0.0000

---

## b
# Mg3TcCl (PBE, relaxed)
# total moment: 0.49 μB per atom
# V: 145.31 Å³ per cell
# Fermi-level density of states: 11.43 states/eV/cell
data_Mg3TcCl
_cell_length_a 5.2573
_cell_length_b 5.2573
_cell_length_c 5.2573
_cell_angle_alpha 90.00
_cell_angle_beta 90.00
_cell_angle_gamma 90.00
_symmetry_space_group_name_H-M 'P m -3 m'
_symmetry_Int_Tables_number 221
_symmetry_space_group_name_Hall '-P 4 2 3'
loop_
_atom_site_label
_atom_site_fract_x
_atom_site_fract_y
_atom_site_fract_z
Mg1 0.0000 0.0000 0.5000
Tc1 0.0000 0.0000 0.0000
Cl1 0.5000 0.5000 0.5000

---

a (64 meV/atom below the next structure)

---

## a
# MgTcCl3 (PBE, relaxed)
# total moment: 0.44 μB per atom
# V: 120.72 Å³ per cell
# Fermi-level density of states: 3.26 states/eV/cell
data_MgTcCl3
_cell_length_a 4.9423
_cell_length_b 4.9423
_cell_length_c 4.9423
_cell_angle_alpha 90.00
_cell_angle_beta 90.00
_cell_angle_gamma 90.00
_symmetry_space_group_name_H-M 'P m -3 m'
_symmetry_Int_Tables_number 221
_symmetry_space_group_name_Hall '-P 4 2 3'
loop_
_atom_site_label
_atom_site_fract_x
_atom_site_fract_y
_atom_site_fract_z
Mg1 0.0000 0.0000 0.0000
Tc1 0.5000 0.5000 0.5000
Cl1 0.0000 0.5000 0.5000

---

## b
# MgTcCl3 (PBE, relaxed)
# total moment: 0.92 μB per atom
# V: 118.08 Å³ per cell
# Fermi-level density of states: 9.52 states/eV/cell
data_MgTcCl3
_cell_length_a 4.9060
_cell_length_b 4.9060
_cell_length_c 4.9060
_cell_angle_alpha 90.00
_cell_angle_beta 90.00
_cell_angle_gamma 90.00
_symmetry_space_group_name_H-M 'P m -3 m'
_symmetry_Int_Tables_number 221
_symmetry_space_group_name_Hall '-P 4 2 3'
loop_
_atom_site_label
_atom_site_fract_x
_atom_site_fract_y
_atom_site_fract_z
Mg1 0.0000 0.0000 0.0000
Tc1 0.5000 0.5000 0.5000
Cl1 0.0000 0.0000 0.5000

---

b (87 meV/atom below the next structure)